No. 1
First-principles (GGA-PBE) data for crystalline CeTmSc at its relaxed geometry, as listed in the Alexandria database.

Computed properties:
Energy of formation = 95 meV/atom
Uncorrected energy = -65.812 eV for the cell shown
M_tot = 0.63 μB/f.u.
Energy relative to the lowest polymorph listed for this composition = 0.029 eV/atom

abc: 5.4769 6.6503 9.2460
angles: 90.00 90.00 90.00
Fractional positions:
Ce: 0.0000 0.0000 0.1468
Ce: 0.0000 0.0000 0.8532
Ce: 0.5000 0.5000 0.3532
Ce: 0.5000 0.5000 0.6468
Tm: 0.0000 0.2460 0.5000
Tm: 0.0000 0.7540 0.5000
Tm: 0.5000 0.2540 0.0000
Tm: 0.5000 0.7460 0.0000
Sc: 0.0000 0.5000 0.1629
Sc: 0.0000 0.5000 0.8371
Sc: 0.5000 0.0000 0.3371
Sc: 0.5000 0.0000 0.6629



No. 2
First-principles (GGA-PBE) data for crystalline CeTm8Sc2 at its relaxed geometry, as listed in the Alexandria database.

Computed properties:
Energy of formation = 161 meV/atom
Uncorrected energy = -52.596 eV for the cell shown
M_tot = 0.73 μB/f.u.

abc: 9.9123 9.9123 5.3689
angles: 92.42 92.42 39.68
Fractional positions:
Ce: 0.0000 0.0000 0.0000
Tm: 0.1290 0.5982 0.2656
Tm: 0.1917 0.1917 0.2365
Tm: 0.4018 0.8710 0.7344
Tm: 0.4515 0.4515 0.7614
Tm: 0.5485 0.5485 0.2386
Tm: 0.5982 0.1290 0.2656
Tm: 0.8083 0.8083 0.7635
Tm: 0.8710 0.4018 0.7344
Sc: 0.2852 0.2852 0.7527
Sc: 0.7148 0.7148 0.2473



No. 3
First-principles (GGA-PBE) data for crystalline CeTmSc at its relaxed geometry, as listed in the Alexandria database.

Computed properties:
Energy of formation = 225 meV/atom
Uncorrected energy = -64.250 eV for the cell shown
M_tot = 0.64 μB/f.u.
Energy relative to the lowest polymorph listed for this composition = 0.159 eV/atom

abc: 6.3121 6.5748 8.1792
angles: 90.00 90.00 90.00
Fractional positions:
Ce: 0.2500 0.1674 0.0000
Ce: 0.2500 0.8326 0.5000
Ce: 0.7500 0.3326 0.0000
Ce: 0.7500 0.6674 0.5000
Tm: 0.1012 0.5000 0.7500
Tm: 0.3988 0.5000 0.2500
Tm: 0.6012 0.0000 0.2500
Tm: 0.8988 0.0000 0.7500
Sc: 0.0000 0.2500 0.3949
Sc: 0.0000 0.7500 0.1051
Sc: 0.5000 0.2500 0.6051
Sc: 0.5000 0.7500 0.8949



No. 4
First-principles (GGA-PBE) data for crystalline CeTmSc at its relaxed geometry, as listed in the Alexandria database.

Computed properties:
Energy of formation = 66 meV/atom
Uncorrected energy = -16.539 eV for the cell shown
M_tot = 0.41 μB/f.u.
Energy relative to the lowest polymorph listed for this composition = 0.000 eV/atom

abc: 3.3981 3.3981 8.2539
angles: 90.00 90.00 120.00
Fractional positions:
Ce: 0.0000 0.0000 0.0000
Tm: 0.6667 0.3333 0.3450
Sc: 0.3333 0.6667 0.6769



No. 5
First-principles (GGA-PBE) data for crystalline CeTm14Sc at its relaxed geometry, as listed in the Alexandria database.

Computed properties:
Energy of formation = 25 meV/atom
Uncorrected energy = -74.471 eV for the cell shown
M_tot = 0.48 μB/f.u.

abc: 11.2342 6.9905 6.9905
angles: 59.97 90.00 90.00
Fractional positions:
Ce: 0.0000 0.0000 0.0000
Tm: 0.0000 0.0005 0.5031
Tm: 0.0000 0.5031 0.0005
Tm: 0.2485 0.3333 0.8339
Tm: 0.2476 0.3356 0.3356
Tm: 0.2485 0.8339 0.3333
Tm: 0.2525 0.8355 0.8355
Tm: 0.5000 0.1680 0.1680
Tm: 0.5000 0.1693 0.6661
Tm: 0.5000 0.6661 0.1693
Tm: 0.5000 0.6671 0.6671
Tm: 0.7475 0.8355 0.8355
Tm: 0.7515 0.3333 0.8339
Tm: 0.7524 0.3356 0.3356
Tm: 0.7515 0.8339 0.3333
Sc: 0.0000 0.5017 0.5017



No. 6
First-principles (GGA-PBE) data for crystalline CeTm2Sc4 at its relaxed geometry, as listed in the Alexandria database.

Computed properties:
Energy of formation = 46 meV/atom
Uncorrected energy = -79.762 eV for the cell shown
M_tot = 0.26 μB/f.u.
Energy relative to the lowest polymorph listed for this composition = 0.000 eV/atom

abc: 5.8582 3.3831 18.9643
angles: 90.00 95.92 90.00
Fractional positions:
Ce: 0.0000 0.0000 0.0000
Ce: 0.5000 0.5000 0.0000
Tm: 0.3089 0.5000 0.4242
Tm: 0.4050 0.5000 0.7108
Tm: 0.8089 0.0000 0.4242
Tm: 0.9050 0.0000 0.7108
Sc: 0.0936 0.0000 0.2803
Sc: 0.1192 0.5000 0.8552
Sc: 0.1903 0.0000 0.5668
Sc: 0.2152 0.5000 0.1463
Sc: 0.5936 0.5000 0.2803
Sc: 0.6192 0.0000 0.8552
Sc: 0.6903 0.5000 0.5668
Sc: 0.7152 0.0000 0.1463



No. 7
First-principles (GGA-PBE) data for crystalline CeTm2Sc4 at its relaxed geometry, as listed in the Alexandria database.

Computed properties:
Energy of formation = 192 meV/atom
Uncorrected energy = -77.713 eV for the cell shown
M_tot = 0.94 μB/f.u.
Energy relative to the lowest polymorph listed for this composition = 0.146 eV/atom

abc: 3.5074 21.1083 5.2613
angles: 90.00 90.00 90.00
Fractional positions:
Ce: 0.0000 0.0000 0.0000
Ce: 0.5000 0.5000 0.0000
Tm: 0.0000 0.4261 0.5000
Tm: 0.0000 0.5739 0.5000
Tm: 0.5000 0.0739 0.5000
Tm: 0.5000 0.9261 0.5000
Sc: 0.0000 0.1964 0.5000
Sc: 0.0000 0.3217 0.0000
Sc: 0.0000 0.6783 0.0000
Sc: 0.0000 0.8036 0.5000
Sc: 0.5000 0.1783 0.0000
Sc: 0.5000 0.3036 0.5000
Sc: 0.5000 0.6964 0.5000
Sc: 0.5000 0.8217 0.0000



No. 8
First-principles (GGA-PBE) data for crystalline Ce2TmSc at its relaxed geometry, as listed in the Alexandria database.

Computed properties:
Energy of formation = 86 meV/atom
Uncorrected energy = -66.975 eV for the cell shown
M_tot = 1.19 μB/f.u.
Energy relative to the lowest polymorph listed for this composition = 0.003 eV/atom

abc: 3.3763 3.3763 33.6543
angles: 90.00 90.00 120.00
Fractional positions:
Ce: 0.0000 0.0000 0.0000
Ce: 0.0000 0.0000 0.1615
Ce: 0.3333 0.6667 0.6667
Ce: 0.3333 0.6667 0.8282
Ce: 0.6667 0.3333 0.3333
Ce: 0.6667 0.3333 0.4948
Tm: 0.0000 0.0000 0.5824
Tm: 0.3333 0.6667 0.2490
Tm: 0.6667 0.3333 0.9157
Sc: 0.0000 0.0000 0.4130
Sc: 0.3333 0.6667 0.0797
Sc: 0.6667 0.3333 0.7463



No. 9
First-principles (GGA-PBE) data for crystalline CeTm2Sc at its relaxed geometry, as listed in the Alexandria database.

Computed properties:
Energy of formation = 74 meV/atom
Uncorrected energy = -20.911 eV for the cell shown
M_tot = 0.42 μB/f.u.
Energy relative to the lowest polymorph listed for this composition = 0.006 eV/atom

abc: 4.8440 4.8440 4.8597
angles: 90.00 90.00 90.00
Fractional positions:
Ce: 0.0000 0.0000 0.0000
Tm: 0.0000 0.5000 0.5000
Tm: 0.5000 0.0000 0.5000
Sc: 0.5000 0.5000 0.0000



No. 10
First-principles (GGA-PBE) data for crystalline Ce2Y3Tm6Sc at its relaxed geometry, as listed in the Alexandria database.

Computed properties:
Energy of formation = 55 meV/atom
Uncorrected energy = -63.766 eV for the cell shown
M_tot = 1.63 μB/f.u.

abc: 6.0468 6.0468 11.5789
angles: 94.99 94.99 119.99
Fractional positions:
Ce: 0.1664 0.8336 0.0000
Ce: 0.8336 0.1664 0.0000
Y: 0.0000 0.0000 0.5000
Y: 0.3342 0.6658 0.5000
Y: 0.6658 0.3342 0.5000
Tm: 0.0855 0.4181 0.7545
Tm: 0.2492 0.2492 0.2457
Tm: 0.4181 0.0855 0.7545
Tm: 0.5819 0.9145 0.2455
Tm: 0.7508 0.7508 0.7543
Tm: 0.9145 0.5819 0.2455
Sc: 0.5000 0.5000 0.0000



No. 11
First-principles (GGA-PBE) data for crystalline CeYTm2Sc4 at its relaxed geometry, as listed in the Alexandria database.

Computed properties:
Energy of formation = 65 meV/atom
Uncorrected energy = -46.147 eV for the cell shown
M_tot = 0.43 μB/f.u.

abc: 4.8868 4.8868 9.1843
angles: 90.00 90.00 90.00
Fractional positions:
Ce: 0.0000 0.0000 0.0000
Y: 0.5000 0.5000 0.5000
Tm: 0.0000 0.0000 0.5000
Tm: 0.5000 0.5000 0.0000
Sc: 0.0000 0.5000 0.2459
Sc: 0.0000 0.5000 0.7541
Sc: 0.5000 0.0000 0.2459
Sc: 0.5000 0.0000 0.7541



No. 12
First-principles (GGA-PBE) data for crystalline CeTmZrSc at its relaxed geometry, as listed in the Alexandria database.

Computed properties:
Energy of formation = 166 meV/atom
Uncorrected energy = -98.483 eV for the cell shown
M_tot = 0.00 μB/f.u.

abc: 7.5042 7.5042 7.5042
angles: 90.00 90.00 90.00
Fractional positions:
Ce: 0.0000 0.0000 0.0000
Ce: 0.0000 0.5000 0.5000
Ce: 0.5000 0.0000 0.5000
Ce: 0.5000 0.5000 0.0000
Tm: 0.0000 0.0000 0.5000
Tm: 0.0000 0.5000 0.0000
Tm: 0.5000 0.0000 0.0000
Tm: 0.5000 0.5000 0.5000
Zr: 0.2500 0.2500 0.7500
Zr: 0.2500 0.7500 0.2500
Zr: 0.7500 0.2500 0.2500
Zr: 0.7500 0.7500 0.7500
Sc: 0.2500 0.2500 0.2500
Sc: 0.2500 0.7500 0.7500
Sc: 0.7500 0.2500 0.7500
Sc: 0.7500 0.7500 0.2500